PBE-GGA CaTcW, optimized geometry; density of states at the Fermi level = 12.9 states/eV per cell; DFT formation energy = 2.9 eV/f.u.; energy above the most stable polymorph in this dataset = 571 meV/atom
1.0
6.305 0.000 0.000
0.000 6.305 0.000
0.000 0.000 6.305
Ca Tc W
4 4 4
direct
0.000 0.000 0.000
0.000 0.500 0.500
0.500 0.000 0.500
0.500 0.500 0.000
0.250 0.250 0.250
0.250 0.750 0.750
0.750 0.250 0.750
0.750 0.750 0.250
0.000 0.000 0.500
0.000 0.500 0.000
0.500 0.000 0.000
0.500 0.500 0.500

---

PBE-GGA KZrCdS2, optimized geometry; density of states at the Fermi level = 2.8 states/eV per cell; energy above the most stable polymorph in this dataset = 1295 meV/atom
1.0
5.318 0.000 0.000
0.000 5.318 0.000
0.000 0.000 5.118
K Zr Cd S
1 1 1 2
direct
0.000 0.000 0.000
0.500 0.500 0.500
0.000 0.000 0.500
0.000 0.500 0.000
0.500 0.000 0.000

---

PBE-GGA ZrCoHg2, optimized geometry; density of states at the Fermi level = 5.1 states/eV per cell; DFT formation energy = 0.3 eV/f.u.
1.0
3.552 0.000 0.000
-1.776 3.076 0.000
0.000 0.000 23.253
Zr Co Hg
3 3 6
direct
0.000 0.000 0.000
0.333 0.667 0.667
0.667 0.333 0.333
0.000 0.000 0.273
0.333 0.667 0.939
0.667 0.333 0.606
0.000 0.000 0.533
0.000 0.000 0.767
0.333 0.667 0.200
0.333 0.667 0.434
0.667 0.333 0.100
0.667 0.333 0.866

---

PBE-GGA CaErTl, optimized geometry; density of states at the Fermi level = 9.8 states/eV per cell; DFT formation energy = -0.7 eV/f.u.; energy above the most stable polymorph in this dataset = 62 meV/atom
1.0
6.927 0.000 0.000
0.000 6.926 0.000
-0.009 0.000 8.052
Ca Er Tl
4 4 4
direct
0.250 0.000 0.143
0.250 0.500 0.857
0.750 0.000 0.857
0.750 0.500 0.143
0.000 0.250 0.500
0.000 0.750 0.500
0.500 0.250 0.500
0.500 0.750 0.500
0.250 0.000 0.746
0.250 0.500 0.254
0.750 0.000 0.254
0.750 0.500 0.746

---

PBE-GGA Tb5Sm4Dy2, optimized geometry; density of states at the Fermi level = 13.5 states/eV per cell; DFT formation energy = 0.1 eV/f.u.; energy above the most stable polymorph in this dataset = 0 meV/atom
1.0
6.211 0.000 0.000
-1.019 7.926 0.000
-2.081 -2.706 7.251
Tb Sm Dy
5 4 2
direct
0.000 0.000 0.000
0.091 0.820 0.364
0.455 0.090 0.817
0.545 0.910 0.183
0.909 0.180 0.636
0.182 0.637 0.727
0.273 0.455 0.092
0.727 0.545 0.908
0.818 0.363 0.273
0.364 0.271 0.454
0.636 0.729 0.546

---

PBE-GGA NiPRu2, optimized geometry; density of states at the Fermi level = 9.3 states/eV per cell; DFT formation energy = 1.1 eV/f.u.
1.0
2.816 0.000 0.000
0.000 4.679 0.000
0.000 0.000 8.071
Ni P Ru
2 2 4
direct
0.000 0.000 0.000
0.500 0.500 0.000
0.000 0.500 0.212
0.500 0.000 0.212
0.000 0.000 0.441
0.000 0.500 0.726
0.500 0.000 0.726
0.500 0.500 0.441

---

PBE-GGA HgPPb2, optimized geometry; density of states at the Fermi level = 3.1 states/eV per cell; DFT formation energy = 0.4 eV/f.u.; energy above the most stable polymorph in this dataset = 65 meV/atom
1.0
3.857 0.000 0.000
0.000 3.911 0.000
0.000 0.000 15.777
Hg P Pb
2 2 4
direct
0.000 0.000 0.000
0.500 0.500 0.500
0.000 0.500 0.741
0.500 0.000 0.241
0.000 0.000 0.369
0.000 0.500 0.172
0.500 0.000 0.672
0.500 0.500 0.869

---

PBE-GGA MgScNiPd, optimized geometry; density of states at the Fermi level = 10.0 states/eV per cell; DFT formation energy = -2.3 eV/f.u.
1.0
6.382 0.000 0.000
0.000 6.382 0.000
0.000 0.000 6.382
Mg Sc Ni Pd
4 4 4 4
direct
0.000 0.000 0.000
0.000 0.500 0.500
0.500 0.000 0.500
0.500 0.500 0.000
0.000 0.000 0.500
0.000 0.500 0.000
0.500 0.000 0.000
0.500 0.500 0.500
0.250 0.250 0.250
0.250 0.750 0.750
0.750 0.250 0.750
0.750 0.750 0.250
0.250 0.250 0.750
0.250 0.750 0.250
0.750 0.250 0.250
0.750 0.750 0.750